First-principles (GGA-PBE) data for crystalline Lu2O at its relaxed geometry, as listed in OQMD via LeMat-Bulk.

POSCAR file:
```
Lu2O
1.0
5.616 0.000 0.000
0.000 5.616 0.000
0.000 0.000 3.436
Lu O
4 2
Cartesian
1.169 1.169 0.000
1.639 3.977 1.718
3.977 1.639 1.718
4.447 4.447 0.000
0.000 0.000 1.718
2.808 2.808 0.000
```

Values from the calculation:
Electronic total energy (eV per atom): -6.492
Space-group type: No. 136

***

First-principles (GGA-PBE) data for crystalline Sr8In4Cu3C5 at its relaxed geometry, as listed in OQMD via LeMat-Bulk.

POSCAR file:
```
Sr8In4Cu3C5
1.0
-1.945 6.378 9.892
1.945 -6.378 9.892
1.945 6.378 -9.892
Sr In Cu C
8 4 3 5
Cartesian
1.945 4.532 -5.738
1.945 4.466 -1.957
0.000 1.846 4.153
1.945 4.466 1.957
0.000 1.912 7.934
1.945 4.532 5.738
0.000 1.912 11.849
0.000 1.846 15.630
1.945 0.000 1.673
0.000 1.801 0.000
0.000 10.956 0.000
0.000 6.378 8.219
1.945 0.000 6.071
0.000 6.378 0.000
0.000 6.378 3.821
1.945 -1.861 6.061
1.945 1.861 6.061
0.000 0.000 9.892
0.000 4.518 3.831
0.000 8.239 3.831
```

Values from the calculation:
Electronic total energy (eV per atom): -3.902
Space-group type: No. 71